The following is a PBE-GGA calculation of a relaxed NaBiH2Pb crystal, from Alexandria via LeMat-Bulk.

Cell: 4.2058 4.2058 6.7674 Å, 90.00 90.00 90.00°
Last column: nearest neighbours and their distance in Å.
Space group P4/mmm (No. 123)
Symmetry-distinct sites (fractional):
1 Na 0.0000 0.0000 0.0000 (multiplicity 1)  4 Bi 2.97
2 Bi 0.5000 0.5000 0.0000 (multiplicity 1)  4 Na 2.97
3 H 0.0000 0.5000 0.5000 (multiplicity 2)  2 Pb 2.10
4 Pb 0.0000 0.0000 0.5000 (multiplicity 1)  4 H 2.10

## Properties
For the electronic total energy, the calculation gives -2.62 eV/atom.